Mg3Ga7Sn: optimized geometry, GGA-PBE.

abc: 4.1942 21.4187 10.0187
angles: 90.00 90.00 90.00
Space group Cmcm (No. 63)
Unique sites:
Mg (0.0000, 0.0708, 0.0831) x8
Mg (0.0000, 0.2286, 0.7500) x4
Ga (0.0000, 0.2109, 0.0983) x8
Ga (0.0000, 0.3389, 0.0451) x8
Ga (0.0000, 0.3695, 0.7500) x4
Ga (0.0000, 0.4721, 0.1142) x8
Sn (0.0000, 0.0945, 0.7500) x4

Summary:
Spin magnetization (μB/f.u.): 0.00
DFT formation energy (eV/atom): -0.0389
Total DFT energy (no corrections) (eV/atom): -2.76